#1
! PmEr6Sc2, optimized geometry, DFT PBE; values from VASP
&SYSTEM
  ibrav = 0, nat = 18, ntyp = 3
/
ATOMIC_SPECIES
Pm 145.00 Pm.upf
Er 167.26 Er.upf
Sc 44.96 Sc.upf
CELL_PARAMETERS angstrom
6.654 -6.407 0.000
6.654 6.407 0.000
-1.504 0.000 6.311
ATOMIC_POSITIONS crystal
Pm 0.143 0.857 0.750
Pm 0.857 0.143 0.250
Er 0.039 0.205 0.823
Er 0.050 0.463 0.261
Er 0.205 0.039 0.323
Er 0.331 0.618 0.003
Er 0.382 0.669 0.497
Er 0.463 0.050 0.761
Er 0.537 0.950 0.239
Er 0.618 0.331 0.503
Er 0.669 0.382 0.997
Er 0.795 0.961 0.677
Er 0.950 0.537 0.739
Er 0.961 0.795 0.177
Sc 0.291 0.351 0.629
Sc 0.351 0.291 0.129
Sc 0.649 0.709 0.871
Sc 0.709 0.649 0.371
! Total magnetic moment in μB per atom: 0.000
! Density of states at the Fermi level in states/eV/f.u.: 10.15

#2
! PmEr6Sc2, optimized geometry, DFT PBE; values from VASP
&SYSTEM
  ibrav = 0, nat = 18, ntyp = 3
/
ATOMIC_SPECIES
Pm 145.00 Pm.upf
Er 167.26 Er.upf
Sc 44.96 Sc.upf
CELL_PARAMETERS angstrom
7.385 -4.240 0.000
7.385 4.240 0.000
-2.144 0.000 8.763
ATOMIC_POSITIONS crystal
Pm 0.080 0.920 0.750
Pm 0.920 0.080 0.250
Er 0.085 0.641 0.990
Er 0.097 0.686 0.382
Er 0.311 0.445 0.682
Er 0.314 0.903 0.118
Er 0.359 0.915 0.510
Er 0.445 0.311 0.182
Er 0.555 0.689 0.818
Er 0.641 0.085 0.490
Er 0.686 0.097 0.882
Er 0.689 0.555 0.318
Er 0.903 0.314 0.618
Er 0.915 0.359 0.010
Sc 0.151 0.291 0.351
Sc 0.291 0.151 0.851
Sc 0.709 0.849 0.149
Sc 0.849 0.709 0.649
! Total magnetic moment in μB per atom: 0.000
! Density of states at the Fermi level in states/eV/f.u.: 14.21

Sorted by energy, starting with the most stable: #1, #2.

#1
! PmErThSc, optimized geometry, DFT PBE; values from VASP
&SYSTEM
  ibrav = 0, nat = 4, ntyp = 4
/
ATOMIC_SPECIES
Pm 145.00 Pm.upf
Er 167.26 Er.upf
Th 232.04 Th.upf
Sc 44.96 Sc.upf
CELL_PARAMETERS angstrom
1.768 1.021 11.198
-1.768 1.021 11.198
0.000 -2.042 11.198
ATOMIC_POSITIONS crystal
Pm 0.000 0.000 0.000
Er 0.755 0.755 0.755
Th 0.171 0.171 0.171
Sc 0.583 0.583 0.583
! Total magnetic moment in μB per atom: 0.000
! Density of states at the Fermi level in states/eV/f.u.: 6.38

#2
! PmErThSc, optimized geometry, DFT PBE; values from VASP
&SYSTEM
  ibrav = 0, nat = 4, ntyp = 4
/
ATOMIC_SPECIES
Pm 145.00 Pm.upf
Er 167.26 Er.upf
Th 232.04 Th.upf
Sc 44.96 Sc.upf
CELL_PARAMETERS angstrom
0.000 3.938 3.938
3.938 0.000 3.938
3.938 3.938 0.000
ATOMIC_POSITIONS crystal
Pm 0.000 0.000 0.000
Er 0.750 0.750 0.750
Th 0.250 0.250 0.250
Sc 0.500 0.500 0.500
! Total magnetic moment in μB per atom: 0.000
! Density of states at the Fermi level in states/eV/f.u.: 7.59

Sorted by energy, starting with the most stable: #1, #2.

#1
! PmErScTl, optimized geometry, DFT PBE; values from VASP
&SYSTEM
  ibrav = 0, nat = 4, ntyp = 4
/
ATOMIC_SPECIES
Pm 145.00 Pm.upf
Er 167.26 Er.upf
Sc 44.96 Sc.upf
Tl 204.38 Tl.upf
CELL_PARAMETERS angstrom
0.000 3.786 3.786
3.786 0.000 3.786
3.786 3.786 0.000
ATOMIC_POSITIONS crystal
Pm 0.000 0.000 0.000
Er 0.250 0.250 0.250
Sc 0.750 0.750 0.750
Tl 0.500 0.500 0.500
! Total magnetic moment in μB per atom: 0.496
! Density of states at the Fermi level in states/eV/f.u.: 5.40

#2
! PmErScTl, optimized geometry, DFT PBE; values from VASP
&SYSTEM
  ibrav = 0, nat = 4, ntyp = 4
/
ATOMIC_SPECIES
Pm 145.00 Pm.upf
Er 167.26 Er.upf
Sc 44.96 Sc.upf
Tl 204.38 Tl.upf
CELL_PARAMETERS angstrom
4.739 0.000 0.000
0.000 4.787 0.000
0.000 0.000 4.803
ATOMIC_POSITIONS crystal
Pm 0.000 0.000 0.000
Er 0.500 0.000 0.500
Sc 0.500 0.500 0.000
Tl 0.000 0.500 0.500
! Total magnetic moment in μB per atom: 0.148
! Density of states at the Fermi level in states/eV/f.u.: 5.54

Sorted by energy, starting with the most stable: #2, #1.

#1
! PmYErSc, optimized geometry, DFT PBE; values from VASP
&SYSTEM
  ibrav = 0, nat = 4, ntyp = 4
/
ATOMIC_SPECIES
Pm 145.00 Pm.upf
Y 88.91 Y.upf
Er 167.26 Er.upf
Sc 44.96 Sc.upf
CELL_PARAMETERS angstrom
0.000 3.936 3.936
3.936 0.000 3.936
3.936 3.936 0.000
ATOMIC_POSITIONS crystal
Pm 0.000 0.000 0.000
Y 0.500 0.500 0.500
Er 0.750 0.750 0.750
Sc 0.250 0.250 0.250
! Total magnetic moment in μB per atom: 0.000
! Density of states at the Fermi level in states/eV/f.u.: 6.55

#2
! PmYErSc, optimized geometry, DFT PBE; values from VASP
&SYSTEM
  ibrav = 0, nat = 4, ntyp = 4
/
ATOMIC_SPECIES
Pm 145.00 Pm.upf
Y 88.91 Y.upf
Er 167.26 Er.upf
Sc 44.96 Sc.upf
CELL_PARAMETERS angstrom
-2.486 2.486 4.902
2.486 -2.486 4.902
2.486 2.486 -4.902
ATOMIC_POSITIONS crystal
Pm 0.000 0.000 0.000
Y 0.750 0.250 0.500
Er 0.250 0.750 0.500
Sc 0.500 0.500 0.000
! Total magnetic moment in μB per atom: 0.004
! Density of states at the Fermi level in states/eV/f.u.: 6.45

Sorted by energy, starting with the most stable: #2, #1.